(1)
Tb3Co29Si4B10 at its PBEsol-relaxed geometry. Source: Alexandria via LeMat-Bulk, functional meta-GGA SCAN.

extended XYZ file:
```
92
Lattice="-4.961 -5.239 -2.729 8.402 -6.313 -3.153 -0.092 -5.000 9.766" Properties=species:S:1:pos:R:3 pbc="T T T"
Co -0.619 -8.840 3.627
Co 3.614 -5.690 1.932
Co 2.345 -9.426 -0.636
Co 3.623 -5.978 -1.670
B -0.897 -7.118 4.793
Co -4.848 -6.765 0.627
Co 2.676 -2.270 -1.137
B -0.586 -3.070 4.586
Co -0.320 -5.114 4.968
Tb -2.480 -2.619 -1.364
Co -0.577 -10.782 5.375
Co 3.552 -9.878 5.946
B 0.743 -2.918 -1.487
Co 6.929 -6.202 -3.110
B 3.110 -11.115 4.383
Co -1.177 -9.621 1.227
Si 2.778 -9.477 -4.826
Tb 6.278 -5.985 0.076
Tb 1.675 -8.276 1.942
Co -4.420 -5.206 -1.354
Co -0.507 -6.938 -2.131
Co 3.862 -7.568 0.173
Tb 6.233 -8.485 4.960
Co -2.375 -3.844 1.368
Co 3.981 -7.486 6.504
B -1.548 -7.977 2.065
B -4.263 -6.954 2.563
B 4.394 -11.094 2.807
Co 5.439 -4.347 -2.174
Co 5.189 -11.164 4.665
Co 4.042 -4.131 -0.050
Co 1.702 -8.488 6.641
Co 6.137 -9.967 2.545
Co -0.216 -3.674 0.112
Co -4.878 -8.409 3.839
Co 1.438 -8.399 -2.861
Co 1.111 -7.270 4.604
Co 6.159 -8.809 0.285
B 2.549 -11.056 0.527
Si -0.889 -1.835 1.305
Si 0.084 -9.060 -0.728
Co -0.279 -7.056 6.717
Co 3.830 -9.314 3.583
Co 3.674 -12.895 3.607
B 3.457 -3.942 -1.986
Co -0.484 -6.418 2.873
B 0.000 -8.778 5.551
Co 1.555 -5.951 -3.033
B 4.428 -9.242 -0.809
Co -2.579 -6.307 1.553
Co -3.481 -8.625 1.715
Co -0.299 -3.957 2.708
Co 4.095 -9.859 1.154
B 3.168 -7.966 -1.767
B 5.047 -6.153 -3.103
Co 3.734 -9.641 -2.749
B -0.863 -5.267 1.177
Co -2.360 -4.944 3.610
Si 0.050 -10.888 2.842
Co -4.491 -9.109 6.269
Co 3.953 -12.332 1.244
Co 1.367 -12.243 4.646
Co -2.008 -8.626 5.740
Co -0.589 -7.222 0.465
B -0.220 -7.825 -4.009
Tb 2.078 -2.828 1.653
Co -2.599 -7.408 3.703
Co -2.417 -6.120 5.812
Co 3.502 -7.350 -3.730
Si 4.818 -7.732 2.250
Co 2.157 -12.862 -0.402
Tb 2.032 -5.329 6.536
Co -0.321 -4.477 -2.295
Co 3.973 -11.231 -0.906
Co 1.519 -9.776 4.531
Si -2.553 -5.471 -2.825
Co 1.143 -5.524 1.194
Co 0.667 -11.007 0.534
Co 1.774 -4.588 -0.976
B 0.057 -5.629 -0.600
Co 0.371 -1.275 -0.649
B 2.871 -5.817 0.207
Si 1.747 -5.424 3.403
Si -0.947 -5.008 7.501
B 2.827 -8.255 4.969
Co 2.315 -11.045 2.525
B -3.677 -5.079 0.371
Co -1.948 -5.371 -0.616
Co 3.594 -6.787 4.075
Co 1.569 -7.051 -0.791
Co 5.252 -7.782 -1.940
B -3.724 -7.641 5.374
```

## Properties
- Crystal system: tetragonal
- DFT total energy: -16.80 eV/atom
- SG: P4/nmm (129)
- N(E_F): 0.7040 states/eV per atom
- ΔE_f (raw): -0.356 eV per atom



(2)
SmCo3B2 at its PBEsol-relaxed geometry. Source: Alexandria via LeMat-Bulk, functional meta-GGA SCAN.

extended XYZ file:
```
6
Lattice="2.982 0.000 0.000 0.000 4.994 0.000 0.000 -2.497 4.325" Properties=species:S:1:pos:R:3 pbc="T T T"
Sm 0.000 0.000 0.000
B 0.000 2.497 1.442
B 0.000 0.000 2.883
Co 1.491 2.497 0.000
Co 1.491 1.249 2.162
Co 1.491 -1.249 2.162
```

## Properties
- Crystal system: hexagonal
- DFT total energy: -18.90 eV/atom
- SG: P6/mmm (191)
- N(E_F): 0.3250 states/eV per atom



(3)
SmCo4B4 at its PBEsol-relaxed geometry. Source: Alexandria via LeMat-Bulk, functional meta-GGA SCAN.

extended XYZ file:
```
18
Lattice="-0.971 3.551 -0.801 -6.062 -2.224 -2.507 -2.836 0.642 6.287" Properties=species:S:1:pos:R:3 pbc="T T T"
Co -3.586 2.413 -0.791
Sm 0.000 0.000 0.000
Co -6.398 -1.287 0.166
Co -7.047 2.352 3.139
Co -2.707 0.462 3.444
Co -2.320 2.124 1.479
B -2.654 0.849 -0.050
B -3.555 2.233 3.521
B -2.281 0.136 1.539
B -6.817 -0.984 2.075
Co -7.756 0.603 1.329
Co -5.063 1.165 4.333
B -5.454 1.843 -1.111
B -6.514 0.470 -0.708
Co -4.599 0.048 -1.183
B -5.186 2.946 3.454
B -7.015 0.388 3.194
Sm -4.934 0.985 1.489
```

## Properties
- Crystal system: tetragonal
- DFT total energy: -16.35 eV/atom
- SG: P4_2/n (86)
- N(E_F): 0.4066 states/eV per atom



(4)
SmCo2B2 at its PBEsol-relaxed geometry. Source: Alexandria via LeMat-Bulk, functional meta-GGA SCAN.

extended XYZ file:
```
5
Lattice="-0.302 -3.069 -1.717 3.510 -0.156 -0.339 -1.308 -0.744 5.188" Properties=species:S:1:pos:R:3 pbc="T T T"
Co 1.903 -1.256 1.911
Co -0.003 -2.713 1.221
Sm 0.000 0.000 0.000
B 1.697 -2.352 0.276
B 0.204 -1.618 2.856
```

## Properties
- Crystal system: tetragonal
- DFT total energy: -19.28 eV/atom
- SG: I4/mmm (139)
- N(E_F): 0.3633 states/eV per atom



(5)
SmCo4B at its PBEsol-relaxed geometry. Source: Alexandria via LeMat-Bulk, functional meta-GGA SCAN.

extended XYZ file:
```
12
Lattice="4.976 0.000 0.000 -2.488 4.309 0.000 0.000 0.000 6.744" Properties=species:S:1:pos:R:3 pbc="T T T"
Co 2.488 1.436 0.000
Co 0.000 2.873 0.000
Co -1.244 2.155 1.936
Sm 0.000 0.000 3.372
Co 1.244 2.155 4.809
Sm 0.000 0.000 0.000
Co -1.244 2.155 4.809
B 0.000 2.873 3.372
Co 2.488 0.000 1.936
Co 1.244 2.155 1.936
Co 2.488 0.000 4.809
B 2.488 1.436 3.372
```

## Properties
- Crystal system: hexagonal
- DFT total energy: -20.35 eV/atom
- SG: P6/mmm (191)
- N(E_F): 0.8330 states/eV per atom



(6)
SmCo12B6 at its PBEsol-relaxed geometry. Source: Alexandria via LeMat-Bulk, functional meta-GGA SCAN.

extended XYZ file:
```
19
Lattice="5.891 -0.002 -0.002 -1.427 5.716 -0.002 -1.427 -1.826 5.417" Properties=species:S:1:pos:R:3 pbc="T T T"
B 2.965 0.447 4.155
Co 1.774 2.270 1.007
B 0.073 0.093 3.662
B -0.283 2.985 4.155
Co 4.207 2.614 0.715
B 3.321 0.903 1.257
Co 1.264 3.658 2.938
Co 1.519 -0.826 4.696
Co 1.264 1.618 4.404
Co -0.206 1.777 2.473
Co 4.207 -0.156 2.706
Sm 0.000 0.000 0.000
Co -1.169 1.274 4.696
Co -1.169 4.044 2.706
Co 1.774 0.230 2.473
Co 1.519 4.714 0.715
Co 3.243 2.111 2.938
B 0.073 3.441 1.257
B 2.965 3.795 1.749
```

## Properties
- Crystal system: trigonal
- DFT total energy: -15.88 eV/atom
- SG: R-3m (166)
- N(E_F): 0.6147 states/eV per atom



(7)
Co21Sn2B6 at its PBEsol-relaxed geometry. Source: Alexandria via LeMat-Bulk, functional meta-GGA SCAN.

extended XYZ file:
```
29
Lattice="-5.337 4.904 -1.303 -6.976 -1.601 1.734 -3.283 3.450 5.617" Properties=species:S:1:pos:R:3 pbc="T T T"
Co -1.786 1.641 -0.436
B -6.692 4.063 1.080
Sn -11.696 5.065 4.536
Co -1.099 1.154 1.880
Co -2.184 2.295 3.737
Co 0.000 0.000 0.000
Co -3.970 3.936 3.301
Co -6.427 0.576 0.717
Co -2.335 -0.536 0.580
Co -7.514 4.185 4.910
Co -4.519 1.759 4.318
B -7.428 1.140 2.444
Co -8.080 2.567 1.138
Co -7.137 1.899 4.317
B -8.167 5.613 3.604
Co -9.211 1.866 3.126
Co -8.458 4.854 1.731
Co -5.740 0.089 3.033
Co -4.649 4.417 1.013
B -5.769 3.409 4.189
Co -4.641 -1.065 1.154
Co -5.885 2.727 -0.287
Co -9.588 4.152 3.718
Co -3.551 3.263 -0.867
B -8.903 2.690 4.968
B -9.826 3.344 1.859
Sn -3.899 1.688 1.512
Co -6.384 4.887 2.922
Co -6.007 2.601 2.329
```

## Properties
- Crystal system: cubic
- DFT total energy: -16.62 eV/atom
- SG: Fm-3m (225)
- N(E_F): 0.9798 states/eV per atom



(8)
SrCoB2 at its PBEsol-relaxed geometry. Source: Alexandria via LeMat-Bulk, functional meta-GGA SCAN.

extended XYZ file:
```
8
Lattice="4.584 0.000 0.000 0.000 4.584 0.000 -2.292 -2.292 5.847" Properties=species:S:1:pos:R:3 pbc="T T T"
Co 2.292 0.000 2.924
Sr 0.000 2.292 2.924
B -1.146 0.000 4.385
B 2.292 3.438 1.462
Co 2.292 2.292 0.000
B 1.146 0.000 4.385
B 2.292 1.146 1.462
Sr 0.000 0.000 0.000
```

## Properties
- Crystal system: tetragonal
- DFT total energy: -13.60 eV/atom
- SG: I4_1/amd (141)
- N(E_F): 0.5668 states/eV per atom



Which of these has the lowest N(E_F)? SmCo3B2



The lowest DFT total energy belongs to which entry? SmCo4B



What is the N(E_F) in the fourth record? 0.3633 states/eV per atom



N(E_F) of number 3 (SmCo4B4)? 0.4066 states/eV per atom